1.
! MnBeIr (PBE-GGA, relaxed); values from VASP
&SYSTEM
  ibrav = 0, nat = 6, ntyp = 3
/
ATOMIC_SPECIES
Ir 192.22 Ir.upf
Be 9.01 Be.upf
Mn 54.94 Mn.upf
CELL_PARAMETERS angstrom
-3.732 -0.802 1.775
-1.791 -4.292 -4.038
0.999 -2.280 1.071
ATOMIC_POSITIONS angstrom
Ir -3.876 -4.956 -0.562
Ir -0.780 -1.262 0.986
Be -0.448 -2.134 -1.179
Be -2.475 -3.401 -1.988
Mn -2.252 -2.954 2.186
Mn -1.815 -3.640 0.318
! ΔE to the lowest computed polymorph   16.9 kJ/mol of atoms



2.
Computed, not measured: Mn2Be2Ir after structural relaxation at the PBE-GGA level of DFT. Values from VASP.

The structure in Quantum ESPRESSO input format:
```
&SYSTEM
  ibrav = 0, nat = 10, ntyp = 3
/
ATOMIC_SPECIES
Mn 54.94 Mn.upf
Be 9.01 Be.upf
Ir 192.22 Ir.upf
CELL_PARAMETERS angstrom
6.081 0.000 0.000
0.000 6.081 0.000
0.000 0.000 2.924
ATOMIC_POSITIONS angstrom
Mn 2.015 1.025 1.462
Mn 1.025 4.066 1.462
Mn 5.056 2.015 1.462
Mn 4.066 5.056 1.462
Be 2.271 5.311 0.000
Be 3.810 0.770 0.000
Be 0.770 2.271 0.000
Be 5.311 3.810 0.000
Ir 0.000 0.000 0.000
Ir 3.040 3.040 0.000
```



3.
! MnBe3Ir (PBE-GGA, relaxed); values from VASP
&SYSTEM
  ibrav = 0, nat = 5, ntyp = 3
/
ATOMIC_SPECIES
Be 9.01 Be.upf
Ir 192.22 Ir.upf
Mn 54.94 Mn.upf
CELL_PARAMETERS angstrom
-0.258 -3.601 1.239
2.782 0.670 2.526
-2.601 1.073 2.579
ATOMIC_POSITIONS angstrom
Be 1.391 0.335 1.263
Be -0.129 -1.801 0.619
Be -1.300 0.537 1.290
Ir -0.038 -0.929 3.172
Mn 0.000 0.000 0.000
! ΔE to the lowest computed polymorph   49.3 kJ/mol of atoms



4.
! MnBeIr (PBE-GGA, relaxed); values from VASP
&SYSTEM
  ibrav = 0, nat = 6, ntyp = 3
/
ATOMIC_SPECIES
Be 9.01 Be.upf
Ir 192.22 Ir.upf
Mn 54.94 Mn.upf
CELL_PARAMETERS angstrom
4.379 0.003 0.000
-0.837 2.573 0.000
2.204 -0.708 5.971
ATOMIC_POSITIONS angstrom
Be 5.853 -0.428 4.573
Be 4.025 0.400 5.815
Ir 2.839 1.439 3.920
Ir -0.383 1.813 0.497
Mn 4.939 0.700 2.520
Mn 2.733 -0.019 1.897
! ΔE to the lowest computed polymorph   10.7 kJ/mol of atoms



5.
Computed, not measured: MnBeIr4 after structural relaxation at the PBE-GGA level of DFT. Values from VASP.

The structure in Quantum ESPRESSO input format:
```
&SYSTEM
  ibrav = 0, nat = 6, ntyp = 3
/
ATOMIC_SPECIES
Be 9.01 Be.upf
Ir 192.22 Ir.upf
Mn 54.94 Mn.upf
CELL_PARAMETERS angstrom
-1.427 -4.213 2.553
-3.075 0.395 4.086
-4.851 -1.643 -0.272
ATOMIC_POSITIONS angstrom
Be 0.000 0.000 0.000
Ir -5.847 -3.414 3.981
Ir -5.133 -1.305 2.702
Ir -4.308 -3.612 1.934
Ir -3.418 -2.592 4.117
Mn -2.338 -1.365 1.592
```



6.
! MnBe2Ir (PBE-GGA, relaxed); values from VASP
&SYSTEM
  ibrav = 0, nat = 8, ntyp = 3
/
ATOMIC_SPECIES
Ir 192.22 Ir.upf
Be 9.01 Be.upf
Mn 54.94 Mn.upf
CELL_PARAMETERS angstrom
6.060 0.000 0.000
0.000 6.060 0.000
3.030 3.030 2.547
ATOMIC_POSITIONS angstrom
Ir 0.000 0.000 0.000
Ir 6.060 3.030 1.274
Be 4.545 4.529 1.910
Be 1.499 4.545 0.637
Be 4.562 1.515 0.637
Be 7.575 7.592 1.910
Mn 3.030 3.030 0.000
Mn 3.030 6.060 1.274
! ΔE to the lowest computed polymorph   61.1 kJ/mol of atoms



7.
! MnBe2Ir (PBE-GGA, relaxed); values from VASP
&SYSTEM
  ibrav = 0, nat = 4, ntyp = 3
/
ATOMIC_SPECIES
Ir 192.22 Ir.upf
Mn 54.94 Mn.upf
Be 9.01 Be.upf
CELL_PARAMETERS angstrom
-1.463 -1.558 -1.452
2.281 -1.015 0.666
-3.019 -2.808 6.055
ATOMIC_POSITIONS angstrom
Ir -0.346 -1.988 1.121
Mn -1.855 -3.392 4.149
Be -3.009 -2.799 6.036
Be -1.519 -1.413 3.047
! ΔE to the lowest computed polymorph   42.5 kJ/mol of atoms



8.
! MnBeIr (PBE-GGA, relaxed); values from VASP
&SYSTEM
  ibrav = 0, nat = 6, ntyp = 3
/
ATOMIC_SPECIES
Ir 192.22 Ir.upf
Mn 54.94 Mn.upf
Be 9.01 Be.upf
CELL_PARAMETERS angstrom
-1.852 1.216 -1.593
-1.926 -3.087 -2.447
-2.306 -1.977 5.849
ATOMIC_POSITIONS angstrom
Ir -2.228 -0.713 -1.586
Ir -3.037 -3.420 1.964
Mn -2.718 -3.071 -0.477
Mn -2.547 -1.062 0.855
Be -2.438 -2.680 -2.840
Be -2.829 -1.452 3.217
! ΔE to the lowest computed polymorph   15.7 kJ/mol of atoms



| no. | total DFT energy (no corrections) (eV/atom) | total magnetic moment (μB per formula unit) | ΔE_f (eV per atom) |
| --- | --- | --- | --- |
| 1 | -7.459 | 0.00 | -0.21 |
| 2 | -7.180 | 5.17 | -0.25 |
| 3 | -4.934 | 0.53 | 0.91 |
| 4 | -7.524 | 0.00 | -0.27 |
| 5 | -7.619 | 4.84 | 0.44 |
| 6 | -6.187 | 3.28 | 0.18 |
| 7 | -6.380 | 1.54 | -0.01 |
| 8 | -7.471 | 0.00 | -0.22 |